Run one
# TcPt2

A relaxed structure of TcPt2 (GGA-PBE, Alexandria).

## Properties
Density ... 17.71 g/cm³

```
data_TcPt2
_symmetry_space_group_name_H-M 'C 1 2/m 1'
_symmetry_Int_Tables_number 12
_cell_length_a 10.215
_cell_length_b 2.783
_cell_length_c 6.682
_cell_angle_alpha 90.00
_cell_angle_beta 105.51
_cell_angle_gamma 90.00
loop_
_symmetry_equiv_pos_as_xyz
'x,y,z'
'-x,-y,-z'
'-x,y,-z'
'x,-y,z'
'x+1/2,y+1/2,z'
'-x+1/2,-y+1/2,-z'
'-x+1/2,y+1/2,-z'
'x+1/2,-y+1/2,z'
loop_
_atom_site_label
_atom_site_fract_x
_atom_site_fract_y
_atom_site_fract_z
Tc1 0.202 0.000 0.133
Pt1 0.025 0.500 0.812
Pt2 0.144 0.000 0.539
```

=====

Run two
# TcPt2

A relaxed structure of TcPt2 (GGA-PBE, Alexandria).

## Properties
Density ... 17.78 g/cm³

```
data_TcPt2
_symmetry_space_group_name_H-M 'C m c m'
_symmetry_Int_Tables_number 63
_symmetry_space_group_name_Hall '-C 2c 2'
_cell_length_a 2.760
_cell_length_b 14.537
_cell_length_c 4.544
_cell_angle_alpha 90.00
_cell_angle_beta 90.00
_cell_angle_gamma 90.00
loop_
_atom_site_label
_atom_site_fract_x
_atom_site_fract_y
_atom_site_fract_z
Tc1 0.000 0.113 0.250
Pt1 0.000 0.223 0.750
Pt2 0.000 0.448 0.250
```

=====

run one (7 meV per atom below the next structure)